Below is SmErZn2Si2 after structural relaxation, with properties calculated at the PBE-GGA level.

Raw total energy (eV/atom): -4.4125
Polymorph energy (0 for the lowest one) (eV per formula unit): 0.000
M_tot (μB per cell): 0.00

The structure in extended XYZ format:
```
12
Lattice="4.160 0.000 0.000 -2.080 3.602 0.000 0.000 0.000 15.874" Properties=species:S:1:pos:R:3 pbc="T T T"
Sm 0.000 0.000 0.000
Sm 0.000 0.000 7.937
Er 0.000 0.000 3.968
Er 0.000 0.000 11.905
Zn 0.000 2.402 2.277
Zn 0.000 2.402 5.660
Zn 2.080 1.201 10.213
Zn 2.080 1.201 13.597
Si 0.000 2.402 9.874
Si 0.000 2.402 13.937
Si 2.080 1.201 1.937
Si 2.080 1.201 6.000
```

***

Below is DyAgPbSeS2 after structural relaxation, with properties calculated at the PBE-GGA level.

Raw total energy (eV/atom): -4.8016
M_tot (μB per cell): 0.01

The structure in extended XYZ format:
```
12
Lattice="2.020 -6.737 0.000 2.020 6.737 0.000 0.000 0.000 10.749" Properties=species:S:1:pos:R:3 pbc="T T T"
Dy 0.000 0.000 0.000
Dy 0.000 0.000 5.375
Ag 2.020 0.455 8.062
Ag 2.020 -0.455 2.687
Pb 2.020 3.591 2.687
Pb 2.020 -3.591 8.062
Se 2.020 5.427 8.062
Se 2.020 -5.427 2.687
S 2.020 1.817 5.976
S 2.020 1.817 10.148
S 2.020 -1.817 0.601
S 2.020 -1.817 4.773
```

***

Question: raw total energy of number 1 (SmErZn2Si2)?
Answer: -4.4125 eV/atom